Compound: ZnCdGa2
Source: the Alexandria database
Functional: SCAN
Structure: PBEsol geometry

Values from the calculation:
**Fermi-level density of states**: 4.84 states/eV/cell
**Magnetic moment**: 0.00 μB/atom
**Crystal system**: tetragonal
**E_form**: 113 meV/atom
**Final energy**: -19.04 eV per atom
**Energy above the most stable polymorph in this dataset**: 0.000 eV per atom

The structure in CIF format:
```
data_ZnCdGa2
_chemical_formula_sum 'Zn4 Cd4 Ga8'
_space_group_name_H-M_alt 'I -4 2 d'
_space_group_IT_number 122
_space_group_name_Hall 'I -4 2bw'
_cell_length_a 4.075
_cell_length_b 4.075
_cell_length_c 17.964
_cell_angle_alpha 90.00
_cell_angle_beta 90.00
_cell_angle_gamma 90.00
loop_
_atom_site_label
_atom_site_type_symbol
_atom_site_fract_x
_atom_site_fract_y
_atom_site_fract_z
Zn1 Zn 0.000 0.000 0.000
Cd1 Cd 0.000 0.000 0.500
Ga1 Ga 0.224 0.250 0.125
```